This record from Alexandria via LeMat-Bulk describes crystalline Rb2NaMgBr5 at its relaxed geometry. The functional is PBE.

Lattice parameters (Å, degrees): 4.2656 19.3037 15.4517 90.00 90.00 90.00
Space group Cmc2_1 (No. 36)
Symmetry-distinct sites (fractional):
Rb: 0.0000 0.0865 0.0000 [4 per cell]
Rb: 0.0000 0.1416 0.6406 [4 per cell]
Na: 0.0000 0.4424 0.7914 [4 per cell]
Mg: 0.0000 0.2230 0.3717 [4 per cell]
Br: 0.0000 0.0848 0.4062 [4 per cell]
Br: 0.0000 0.2633 0.9919 [4 per cell]
Br: 0.0000 0.2959 0.7565 [4 per cell]
Br: 0.0000 0.3579 0.3371 [4 per cell]
Br: 0.0000 0.4979 0.1288 [4 per cell]

Total energy in eV for the cell shown: -109.82
Magnetization in μB/atom: 0.00

This record from Alexandria via LeMat-Bulk describes crystalline Na2SrPbCl6 at its relaxed geometry. The functional is PBE.

Lattice parameters (Å, degrees): 7.2729 7.2729 19.4386 90.00 90.00 120.00
Space group R3 (No. 146, hexagonal axes)
Symmetry-distinct sites (fractional):
Na: 0.0000 0.0000 0.0000 [3 per cell]
Na: 0.0000 0.0000 0.4992 [3 per cell]
Sr: 0.0000 0.0000 0.2014 [3 per cell]
Pb: 0.0000 0.0000 0.7007 [3 per cell]
Cl: 0.0108 0.7053 0.6000 [9 per cell]
Cl: 0.0140 0.3067 0.0998 [9 per cell]

Total energy in eV for the cell shown: -111.47
Magnetization in μB/atom: 0.00

This record from Alexandria via LeMat-Bulk describes crystalline NaAc2Zn9 at its relaxed geometry. The functional is PBE.

Lattice parameters (Å, degrees): 5.7430 5.7430 26.6295 90.00 90.00 120.00
Space group R-3m (No. 166, hexagonal axes)
Symmetry-distinct sites (fractional):
Na: 0.0000 0.0000 0.0000 [3 per cell]
Ac: 0.0000 0.0000 0.1396 [6 per cell]
Zn: 0.0000 0.0000 0.3347 [6 per cell]
Zn: 0.0000 0.0000 0.5000 [3 per cell]
Zn: 0.0022 0.5011 0.9212 [18 per cell]

Total energy in eV for the cell shown: -66.71
Magnetization in μB/atom: 0.00
ΔE_f in eV/atom: -0.103

This record from Alexandria via LeMat-Bulk describes crystalline La6TmHg2 at its relaxed geometry. The functional is PBE.

Lattice parameters (Å, degrees): 13.1697 3.8436 12.3135 90.00 108.38 90.00
Space group C2/m (No. 12)
Symmetry-distinct sites (fractional):
La: 0.0249 0.0000 0.3359 [4 per cell]
La: 0.1837 0.5000 0.8762 [4 per cell]
La: 0.1935 0.5000 0.5954 [4 per cell]
Tm: 0.0000 0.0000 0.0000 [2 per cell]
Hg: 0.1332 0.5000 0.1831 [4 per cell]

Total energy in eV for the cell shown: -73.29
Magnetization in μB/atom: 0.00
ΔE_f in eV/atom: -0.223

This record from Alexandria via LeMat-Bulk describes crystalline Tb2Hg at its relaxed geometry. The functional is PBE.

Lattice parameters (Å, degrees): 7.2378 7.2378 7.2378 90.00 90.00 90.00
Space group Fm-3m (No. 225)
Symmetry-distinct sites (fractional):
Tb: 0.2500 0.2500 0.2500 [8 per cell]
Hg: 0.0000 0.0000 0.0000 [4 per cell]

Total energy in eV for the cell shown: -39.52
Magnetization in μB/atom: 0.00
ΔE_f in eV/atom: -0.106

This record from Alexandria via LeMat-Bulk describes crystalline KAgRu2 at its relaxed geometry. The functional is PBE.

Lattice parameters (Å, degrees): 2.9044 4.8038 10.4303 90.00 90.00 90.00
Space group Cmm2 (No. 35)
Symmetry-distinct sites (fractional):
K: 0.0000 0.0000 0.0000 [2 per cell]
Ag: 0.0000 0.5000 0.7120 [2 per cell]
Ru: 0.0000 0.0000 0.4726 [2 per cell]
Ru: 0.0000 0.5000 0.2721 [2 per cell]

Total energy in eV for the cell shown: -38.50
Magnetization in μB/atom: 0.18
ΔE_f in eV/atom: 0.813

This record from Alexandria via LeMat-Bulk describes crystalline TaCdSe2 at its relaxed geometry. The functional is PBE.

Lattice parameters (Å, degrees): 9.1410 3.3084 6.5503 90.00 113.28 90.00
Space group Cm (No. 8)
Symmetry-distinct sites (fractional):
Ta: 0.0000 0.0000 0.0000 [2 per cell]
Cd: 0.3183 0.0000 0.5784 [2 per cell]
Se: 0.0310 0.5000 0.3246 [2 per cell]
Se: 0.1974 0.5000 0.9545 [2 per cell]

Total energy in eV for the cell shown: -42.03
Magnetization in μB/atom: 0.00

This record from Alexandria via LeMat-Bulk describes crystalline Ti3Al3TcPd2 at its relaxed geometry. The functional is PBE.

Lattice parameters (Å, degrees): 7.4456 7.4456 2.9770 90.00 90.00 120.00
Space group P-62m (No. 189)
Symmetry-distinct sites (fractional):
Ti: 0.0000 0.7230 0.0000 [3 per cell]
Al: 0.0000 0.3726 0.5000 [3 per cell]
Tc: 0.0000 0.0000 0.5000 [1 per cell]
Pd: 0.3333 0.6667 0.0000 [2 per cell]

Total energy in eV for the cell shown: -60.50
Magnetization in μB/atom: 0.00
ΔE_f in eV/atom: -0.538

This record from Alexandria via LeMat-Bulk describes crystalline K2CdAg at its relaxed geometry. The functional is PBE.

Lattice parameters (Å, degrees): 10.4278 8.6312 6.3775 90.00 90.00 90.00
Space group Cmcm (No. 63)
Symmetry-distinct sites (fractional):
K: 0.1780 0.1453 0.2500 [8 per cell]
Cd: 0.0000 0.5000 0.0000 [4 per cell]
Ag: 0.0000 0.2207 0.7500 [4 per cell]

Total energy in eV for the cell shown: -24.51
Magnetization in μB/atom: 0.00
ΔE_f in eV/atom: -0.041

This record from Alexandria via LeMat-Bulk describes crystalline Pr2CBr2 at its relaxed geometry. The functional is PBE.

Lattice parameters (Å, degrees): 3.8930 3.8930 33.3003 90.00 90.00 120.00
Space group R-3m (No. 166, hexagonal axes)
Symmetry-distinct sites (fractional):
Pr: 0.0000 0.0000 0.1228 [6 per cell]
C: 0.0000 0.0000 0.5000 [3 per cell]
Br: 0.0000 0.0000 0.3938 [6 per cell]

Total energy in eV for the cell shown: -82.44
Magnetization in μB/atom: 0.00

This record from Alexandria via LeMat-Bulk describes crystalline K2AlP at its relaxed geometry. The functional is PBE.

Lattice parameters (Å, degrees): 3.0535 5.1661 6.7749 90.00 90.00 90.00
Space group Pmmm (No. 47)
Symmetry-distinct sites (fractional):
K: 0.0000 0.0000 0.2244 [2 per cell]
Al: 0.5000 0.5000 0.5000 [1 per cell]
P: 0.5000 0.5000 0.0000 [1 per cell]

Total energy in eV for the cell shown: -10.20
Magnetization in μB/atom: 0.00
ΔE_f in eV/atom: 0.287

This record from Alexandria via LeMat-Bulk describes crystalline LaDyYCd at its relaxed geometry. The functional is PBE.

Lattice parameters (Å, degrees): 3.6998 3.6998 8.9186 90.00 90.00 90.00
Space group P4mm (No. 99)
Symmetry-distinct sites (fractional):
La: 0.0000 0.0000 0.0000 [1 per cell]
Dy: 0.5000 0.5000 0.2830 [1 per cell]
Y: 0.5000 0.5000 0.7119 [1 per cell]
Cd: 0.0000 0.0000 0.4966 [1 per cell]

Total energy in eV for the cell shown: -17.50
Magnetization in μB/atom: 0.00
ΔE_f in eV/atom: -0.147

Which of these has the highest magnetization? KAgRu2

What is the magnetization in the fourth record? 0.00 μB/atom

What is the magnetization in the fifth record? 0.00 μB/atom